Entry 1:
Compound: BaNi2Se
Source: Alexandria
Functional: GGA-PBEsol
Structure: relaxed

Values from the calculation:
The space group is P4/mmm, No. 123. Its calculated total energy is -4.4194 eV/atom. The calculation puts the total magnetization at 0.00 μB/cell. For the formation energy from raw total energies, the calculation gives 0.6 eV/f.u.

Cell and atoms, written as CIF:
```
data_BaNi2Se
_chemical_formula_sum 'Ba1 Ni2 Se1'
_cell_length_a 3.296
_cell_length_b 3.296
_cell_length_c 6.784
_cell_angle_alpha 90.00
_cell_angle_beta 90.00
_cell_angle_gamma 90.00
_symmetry_space_group_name_H-M 'P 1'
_symmetry_Int_Tables_number 1
loop_
_symmetry_equiv_pos_as_xyz
'x,y,z'
loop_
_atom_site_label
_atom_site_type_symbol
_atom_site_fract_x
_atom_site_fract_y
_atom_site_fract_z
Ba1 Ba 0.000 0.000 0.000
Ni1 Ni 0.500 0.500 0.327
Ni2 Ni 0.500 0.500 0.673
Se1 Se 0.000 0.000 0.500
```

Entry 2:
Compound: Si2MoAs
Source: Alexandria
Functional: GGA-PBEsol
Structure: relaxed

Values from the calculation:
The space group is C2/m, No. 12. Its calculated total energy is -6.9903 eV/atom. The calculation puts the total magnetization at 0.00 μB/cell. For the formation energy from raw total energies, the calculation gives 0.4 eV/f.u.

Cell and atoms, written as CIF:
```
data_Si2MoAs
_chemical_formula_sum 'Si2 Mo1 As1'
_cell_length_a 4.661
_cell_length_b 4.661
_cell_length_c 4.322
_cell_angle_alpha 94.67
_cell_angle_beta 94.67
_cell_angle_gamma 39.25
_symmetry_space_group_name_H-M 'P 1'
_symmetry_Int_Tables_number 1
loop_
_symmetry_equiv_pos_as_xyz
'x,y,z'
loop_
_atom_site_label
_atom_site_type_symbol
_atom_site_fract_x
_atom_site_fract_y
_atom_site_fract_z
Si1 Si 0.233 0.233 0.222
Si2 Si 0.767 0.767 0.778
Mo1 Mo 0.500 0.500 0.000
As1 As 0.000 0.000 0.500
```

Entry 3:
Compound: Ta3BeI
Source: Alexandria
Functional: GGA-PBEsol
Structure: relaxed

Values from the calculation:
The space group is Pm-3m, No. 221. Its calculated total energy is -6.1880 eV/atom. The calculation puts the total magnetization at 0.00 μB/cell. For the formation energy from raw total energies, the calculation gives 12.5 eV/f.u.

Cell and atoms, written as CIF:
```
data_Ta3BeI
_chemical_formula_sum 'Ta3 Be1 I1'
_cell_length_a 4.913
_cell_length_b 4.913
_cell_length_c 4.913
_cell_angle_alpha 90.00
_cell_angle_beta 90.00
_cell_angle_gamma 90.00
_symmetry_space_group_name_H-M 'P 1'
_symmetry_Int_Tables_number 1
loop_
_symmetry_equiv_pos_as_xyz
'x,y,z'
loop_
_atom_site_label
_atom_site_type_symbol
_atom_site_fract_x
_atom_site_fract_y
_atom_site_fract_z
Ta1 Ta 0.000 0.000 0.500
Ta2 Ta 0.000 0.500 0.000
Ta3 Ta 0.500 0.000 0.000
Be1 Be 0.500 0.500 0.500
I1 I 0.000 0.000 0.000
```

Entry 4:
Compound: K2CoHg
Source: Alexandria
Functional: GGA-PBEsol
Structure: relaxed

Values from the calculation:
The space group is I-4m2, No. 119. Its calculated total energy is -1.9504 eV/atom. The value obtained for the formation energy is 67 kJ/mol of atoms. The calculation puts the total magnetization at 1.39 μB/cell.

Cell and atoms, written as CIF:
```
data_K2CoHg
_chemical_formula_sum 'K2 Co1 Hg1'
_cell_length_a 5.292
_cell_length_b 5.292
_cell_length_c 5.292
_cell_angle_alpha 120.79
_cell_angle_beta 120.79
_cell_angle_gamma 88.63
_symmetry_space_group_name_H-M 'P 1'
_symmetry_Int_Tables_number 1
loop_
_symmetry_equiv_pos_as_xyz
'x,y,z'
loop_
_atom_site_label
_atom_site_type_symbol
_atom_site_fract_x
_atom_site_fract_y
_atom_site_fract_z
K1 K 0.000 0.000 0.000
K2 K 0.750 0.250 0.500
Co1 Co 0.500 0.500 0.000
Hg1 Hg 0.250 0.750 0.500
```

Entry 5:
Compound: ScRhAuCl2
Source: Alexandria
Functional: GGA-PBEsol
Structure: relaxed

Values from the calculation:
The space group is P4/mmm, No. 123. Its calculated total energy is -4.6307 eV/atom. The calculation puts the total magnetization at 0.11 μB/cell. For the formation energy from raw total energies, the calculation gives -0.5 eV/f.u.

Cell and atoms, written as CIF:
```
data_ScRhAuCl2
_chemical_formula_sum 'Sc1 Rh1 Au1 Cl2'
_cell_length_a 4.693
_cell_length_b 4.693
_cell_length_c 4.961
_cell_angle_alpha 90.00
_cell_angle_beta 90.00
_cell_angle_gamma 90.00
_symmetry_space_group_name_H-M 'P 1'
_symmetry_Int_Tables_number 1
loop_
_symmetry_equiv_pos_as_xyz
'x,y,z'
loop_
_atom_site_label
_atom_site_type_symbol
_atom_site_fract_x
_atom_site_fract_y
_atom_site_fract_z
Sc1 Sc 0.000 0.000 0.000
Rh1 Rh 0.000 0.000 0.500
Au1 Au 0.500 0.500 0.500
Cl1 Cl 0.000 0.500 0.000
Cl2 Cl 0.500 0.000 0.000
```

Entry 6:
Compound: Li2TeMoO6
Source: Alexandria
Functional: GGA-PBEsol
Structure: relaxed

Values from the calculation:
The space group is P2_1/c, No. 14. Its calculated total energy is -6.9033 eV/atom. The calculation puts the total magnetization at 0.00 μB/cell. For the formation energy from raw total energies, the calculation gives -18.3 eV/f.u.

Cell and atoms, written as CIF:
```
data_Li2TeMoO6
_chemical_formula_sum 'Li8 Te4 Mo4 O24'
_cell_length_a 5.328
_cell_length_b 13.013
_cell_length_c 8.389
_cell_angle_alpha 90.00
_cell_angle_beta 125.00
_cell_angle_gamma 90.00
_symmetry_space_group_name_H-M 'P 1'
_symmetry_Int_Tables_number 1
loop_
_symmetry_equiv_pos_as_xyz
'x,y,z'
loop_
_atom_site_label
_atom_site_type_symbol
_atom_site_fract_x
_atom_site_fract_y
_atom_site_fract_z
Li1 Li 0.038 0.068 0.235
Li2 Li 0.038 0.432 0.735
Li3 Li 0.265 0.149 0.021
Li4 Li 0.265 0.351 0.521
Li5 Li 0.735 0.649 0.479
Li6 Li 0.735 0.851 0.979
Li7 Li 0.962 0.568 0.265
Li8 Li 0.962 0.932 0.765
Te1 Te 0.186 0.707 0.935
Te2 Te 0.186 0.793 0.435
Te3 Te 0.814 0.207 0.565
Te4 Te 0.814 0.293 0.065
Mo1 Mo 0.474 0.092 0.755
Mo2 Mo 0.474 0.408 0.255
Mo3 Mo 0.526 0.592 0.745
Mo4 Mo 0.526 0.908 0.245
O1 O 0.144 0.058 0.750
O2 O 0.144 0.442 0.250
O3 O 0.188 0.693 0.702
O4 O 0.188 0.807 0.202
O5 O 0.228 0.250 0.196
O6 O 0.228 0.250 0.696
O7 O 0.308 0.020 0.159
O8 O 0.308 0.480 0.659
O9 O 0.329 0.095 0.509
O10 O 0.329 0.405 0.009
O11 O 0.332 0.653 0.462
O12 O 0.332 0.847 0.962
O13 O 0.668 0.153 0.038
O14 O 0.668 0.347 0.538
O15 O 0.671 0.595 0.991
O16 O 0.671 0.905 0.491
O17 O 0.692 0.520 0.341
O18 O 0.692 0.980 0.841
O19 O 0.772 0.750 0.304
O20 O 0.772 0.750 0.804
O21 O 0.812 0.193 0.798
O22 O 0.812 0.307 0.298
O23 O 0.856 0.558 0.750
O24 O 0.856 0.942 0.250
```

Entry 7:
Compound: CoCuPt2
Source: Alexandria
Functional: GGA-PBEsol
Structure: relaxed

Values from the calculation:
The space group is F-43m, No. 216. Its calculated total energy is -6.3606 eV/atom. The value obtained for the formation energy is 13 kJ/mol of atoms. The calculation puts the total magnetization at 2.31 μB/cell.

Cell and atoms, written as CIF:
```
data_CoCuPt2
_chemical_formula_sum 'Co1 Cu1 Pt2'
_cell_length_a 4.237
_cell_length_b 4.237
_cell_length_c 4.237
_cell_angle_alpha 60.00
_cell_angle_beta 60.00
_cell_angle_gamma 60.00
_symmetry_space_group_name_H-M 'P 1'
_symmetry_Int_Tables_number 1
loop_
_symmetry_equiv_pos_as_xyz
'x,y,z'
loop_
_atom_site_label
_atom_site_type_symbol
_atom_site_fract_x
_atom_site_fract_y
_atom_site_fract_z
Co1 Co 0.000 0.000 0.000
Cu1 Cu 0.750 0.750 0.750
Pt1 Pt 0.250 0.250 0.250
Pt2 Pt 0.500 0.500 0.500
```

Entry 8:
Compound: MnNi2Br
Source: Alexandria
Functional: GGA-PBEsol
Structure: relaxed

Values from the calculation:
The space group is I-4m2, No. 119. Its calculated total energy is -5.4339 eV/atom. The calculation puts the total magnetization at 5.04 μB/cell. For the formation energy from raw total energies, the calculation gives 2.2 eV/f.u.

Cell and atoms, written as CIF:
```
data_MnNi2Br
_chemical_formula_sum 'Mn1 Ni2 Br1'
_cell_length_a 4.774
_cell_length_b 4.774
_cell_length_c 4.774
_cell_angle_alpha 135.14
_cell_angle_beta 135.14
_cell_angle_gamma 65.31
_symmetry_space_group_name_H-M 'P 1'
_symmetry_Int_Tables_number 1
loop_
_symmetry_equiv_pos_as_xyz
'x,y,z'
loop_
_atom_site_label
_atom_site_type_symbol
_atom_site_fract_x
_atom_site_fract_y
_atom_site_fract_z
Mn1 Mn 0.000 0.000 0.000
Ni1 Ni 0.500 0.500 0.000
Ni2 Ni 0.750 0.250 0.500
Br1 Br 0.250 0.750 0.500
```